## La2Nd2Pd3 (PBE-GGA)

Data for a relaxed structure of La2Nd2Pd3.

Unit cell a=4.2694 b=7.2509 c=7.3298 alpha=100.01 beta=90.03 gamma=107.18
Fractional positions:
La  0.6252  0.2497  0.8778
La  0.3748  0.7503  0.1222
Nd  0.8690  0.7359  0.6297
Nd  0.1310  0.2641  0.3703
Pd  0.0000  0.0000  0.0000
Pd  0.7505  0.5025  0.2530
Pd  0.2495  0.4975  0.7470

Summary:
Magnetization ... 0.0 μB/f.u.
Symmetry ... P-1
Crystal system ... triclinic
Energy ... -5.59 eV per atom
N(E_F) ... 5.4 states/eV per cell